# PBE-GGA KNb2Br6, optimized geometry
data_KNb2Br6
_chemical_formula_sum 'K2 Nb4 Br12'
_symmetry_space_group_name_H-M 'C 1 2/m 1'
_symmetry_Int_Tables_number 12
_cell_length_a 11.8650
_cell_length_b 5.2826
_cell_length_c 11.2880
_cell_angle_alpha 90.00
_cell_angle_beta 121.01
_cell_angle_gamma 90.00
loop_
_symmetry_equiv_pos_as_xyz
'x,y,z'
'-x,-y,-z'
'-x,y,-z'
'x,-y,z'
'x+1/2,y+1/2,z'
'-x+1/2,-y+1/2,-z'
'-x+1/2,y+1/2,-z'
'x+1/2,-y+1/2,z'
loop_
_atom_site_label
_atom_site_type_symbol
_atom_site_fract_x
_atom_site_fract_y
_atom_site_fract_z
K1 K 0.0000 0.0000 0.0000
Nb1 Nb 0.1329 0.0000 0.5526
Br1 Br 0.0345 0.0000 0.7086
Br2 Br 0.1419 0.5000 0.1950
Br3 Br 0.1797 0.5000 0.5448
# Total energy: -39.203 eV per formula unit
# Magnetization: 2.028 μB per cell
# Raw formation energy: -0.8809 eV per atom
# Calculated volume: 33.688 Å³/atom